Entry 1:
BeAgNO: optimized geometry, PBE-GGA.

Cell: 3.0848 3.0848 8.4245 Å, 90.00 90.00 89.95°
With the nearest neighbours (Å) after each atom.
Element x y z (fractional)
Ag (0.7500, 0.7500, 0.7872)  4 O 2.36
O (0.2500, 0.7500, 0.0000)  4 O 2.18, 4 Ag 2.36
O (0.7500, 0.2500, 0.0000)  4 O 2.18, 4 Ag 2.36
N (0.2500, 0.2500, 0.5931)  4 Be 1.73
N (0.7500, 0.7500, 0.4069)  4 Be 1.73
Be (0.2500, 0.7500, 0.5000)  4 N 1.73
Be (0.7500, 0.2500, 0.5000)  4 N 1.73
Ag (0.2500, 0.2500, 0.2127)  4 O 2.36

Entry 2:
BeAgNO: optimized geometry, PBE-GGA.

Cell: 5.3120 6.8123 4.5503 Å, 90.00 90.00 90.00°
With the nearest neighbours (Å) after each atom.
Element x y z (fractional)
O (0.9950, 0.1740, 0.0489)  1 Be 1.64
Be (0.9031, 0.6010, 0.4943)  1 O 1.64, 3 N 1.65-1.75
N (0.6062, 0.5650, 0.6138)  3 Be 1.65-1.75
Be (0.0969, 0.3990, 0.9943)  1 O 1.64, 3 N 1.65-1.75
N (0.3938, 0.4350, 0.1138)  3 Be 1.65-1.75
N (0.8938, 0.5650, 0.1138)  3 Be 1.65-1.75
O (0.4950, 0.8260, 0.0489)  1 Be 1.64
N (0.1062, 0.4350, 0.6138)  3 Be 1.65-1.75
Be (0.4031, 0.3990, 0.4943)  1 O 1.64, 3 N 1.65-1.75
O (0.5050, 0.1740, 0.5489)  1 Be 1.64
Be (0.5969, 0.6010, 0.9943)  1 O 1.64, 3 N 1.65-1.75
Ag (0.5149, 0.1532, 0.0455)  1 N 2.05, 2 O 2.23-2.26
Ag (0.0149, 0.8468, 0.0455)  1 N 2.05, 2 O 2.23-2.26
Ag (0.9851, 0.1532, 0.5455)  1 N 2.05, 2 O 2.23-2.26
O (0.0050, 0.8260, 0.5489)  1 Be 1.64
Ag (0.4851, 0.8468, 0.5455)  1 N 2.05, 2 O 2.23-2.26

Entry 3:
BeAgNO: optimized geometry, PBE-GGA.

Cell: 2.8049 5.2034 5.7557 Å, 90.00 90.00 90.00°
With the nearest neighbours (Å) after each atom.
Element x y z (fractional)
Ag (0.5000, 0.9716, 0.1662)  2 N 2.08, 1 O 2.19
N (0.0000, 0.3371, 0.5960)  2 Be 1.70-1.76
Ag (0.5000, 0.4716, 0.8338)  2 N 2.08, 1 O 2.19
O (0.5000, 0.4395, 0.2136)  2 Be 1.63
Be (0.0000, 0.0058, 0.6564)  2 O 1.63, 2 N 1.70-1.76
N (0.0000, 0.8371, 0.4040)  2 Be 1.70-1.76
Be (0.0000, 0.5058, 0.3436)  2 O 1.63, 2 N 1.70-1.76
O (0.5000, 0.9395, 0.7864)  2 Be 1.63

Entry 4:
BeAgNO: optimized geometry, PBE-GGA.

Cell: 3.6552 3.6552 6.5028 Å, 90.00 90.00 90.00°
With the nearest neighbours (Å) after each atom.
Element x y z (fractional)
O (0.2500, 0.7500, 0.0000)  4 Be 1.85
Be (0.7500, 0.7500, 0.0450)  1 N 1.70, 4 O 1.85
N (0.7500, 0.7500, 0.3064)  1 Be 1.70
Ag (0.2500, 0.7500, 0.5000)  4 N 2.22
O (0.7500, 0.2500, 0.0000)  4 Be 1.85
N (0.2500, 0.2500, 0.6936)  1 Be 1.70
Ag (0.7500, 0.2500, 0.5000)  4 N 2.22
Be (0.2500, 0.2500, 0.9550)  1 N 1.70, 4 O 1.85

Entry 5:
BeAgNO: optimized geometry, PBE-GGA.

Cell: 4.5477 4.9676 6.9613 Å, 90.00 90.00 90.00°
With the nearest neighbours (Å) after each atom.
Element x y z (fractional)
Ag (0.5408, 0.4837, 0.1492)  4 N 2.18-2.40, 1 O 2.19
O (0.6332, 0.1112, 0.5560)  3 Be 1.59-1.62
O (0.1332, 0.3888, 0.5560)  3 Be 1.59-1.62
N (0.5429, 0.0002, 0.1632)  1 Be 1.82
Ag (0.0408, 0.5163, 0.8508)  4 N 2.18-2.40, 1 O 2.19
Be (0.4855, 0.4018, 0.5874)  3 O 1.59-1.62
Ag (0.0408, 0.0163, 0.1492)  4 N 2.18-2.40, 1 O 2.19
Be (0.9855, 0.0982, 0.5874)  3 O 1.59-1.62
Be (0.4855, 0.9018, 0.4126)  3 O 1.59-1.62
O (0.6332, 0.6112, 0.4440)  3 Be 1.59-1.62
Be (0.9855, 0.5982, 0.4126)  3 O 1.59-1.62
N (0.0429, 0.9998, 0.8368)  1 Be 1.82
O (0.1332, 0.8888, 0.4440)  3 Be 1.59-1.62
N (0.5429, 0.5002, 0.8368)  1 Be 1.82
Ag (0.5408, 0.9837, 0.8508)  4 N 2.18-2.40, 1 O 2.19
N (0.0429, 0.4998, 0.1632)  1 Be 1.82

Entry 6:
BeNbAgPd: optimized geometry, PBE-GGA.

Cell: 4.3899 4.3899 4.3899 Å, 60.00 60.00 60.00°
With the nearest neighbours (Å) after each atom.
Element x y z (fractional)
Pd (0.2500, 0.2500, 0.2500)  4 Nb 2.69, 4 Ag 2.69
Nb (0.5000, 0.5000, 0.5000)  4 Pd 2.69, 4 Be 2.69
Be (0.7500, 0.7500, 0.7500)  4 Nb 2.69, 4 Ag 2.69
Ag (0.0000, 0.0000, 0.0000)  4 Be 2.69, 4 Pd 2.69

Entry 7:
BeNbAgPd: optimized geometry, PBE-GGA.

Cell: 4.4205 4.4205 4.4205 Å, 60.00 60.00 60.00°
With the nearest neighbours (Å) after each atom.
Element x y z (fractional)
Pd (0.0000, 0.0000, 0.0000)  4 Be 2.71, 4 Nb 2.71
Nb (0.2500, 0.2500, 0.2500)  4 Ag 2.71, 4 Pd 2.71
Ag (0.5000, 0.5000, 0.5000)  4 Nb 2.71, 4 Be 2.71
Be (0.7500, 0.7500, 0.7500)  4 Pd 2.71, 4 Ag 2.71

Entry 8:
BeNi2Ag: optimized geometry, PBE-GGA.

Cell: 4.0536 4.0536 4.0536 Å, 60.00 60.00 60.00°
With the nearest neighbours (Å) after each atom.
Element x y z (fractional)
Ag (0.2500, 0.2500, 0.2500)  4 Ni 2.48, 4 Be 2.48
Ni (0.0000, 0.0000, 0.0000)  4 Ag 2.48, 4 Ni 2.48
Ni (0.7500, 0.7500, 0.7500)  4 Be 2.48, 4 Ni 2.48
Be (0.5000, 0.5000, 0.5000)  4 Ni 2.48, 4 Ag 2.48

Entry 9:
BeNiAg2: optimized geometry, PBE-GGA.

Cell: 4.2859 4.2859 4.2859 Å, 60.00 60.00 60.00°
With the nearest neighbours (Å) after each atom.
Element x y z (fractional)
Ag (0.7500, 0.7500, 0.7500)  4 Be 2.62, 4 Ag 2.62
Ni (0.2500, 0.2500, 0.2500)  4 Be 2.62, 4 Ag 2.62
Ag (0.0000, 0.0000, 0.0000)  4 Ni 2.62, 4 Ag 2.62
Be (0.5000, 0.5000, 0.5000)  4 Ni 2.62, 4 Ag 2.62

Entry 10:
BeSiNiAg: optimized geometry, PBE-GGA.

Cell: 4.1312 4.1312 4.1312 Å, 60.00 60.00 60.00°
With the nearest neighbours (Å) after each atom.
Element x y z (fractional)
Si (0.0000, 0.0000, 0.0000)  4 Ni 2.53, 4 Be 2.53
Ni (0.7500, 0.7500, 0.7500)  4 Si 2.53, 4 Ag 2.53
Be (0.2500, 0.2500, 0.2500)  4 Ag 2.53, 4 Si 2.53
Ag (0.5000, 0.5000, 0.5000)  4 Be 2.53, 4 Ni 2.53

Entry 11:
BeTlNiAg: optimized geometry, PBE-GGA.

Cell: 4.4030 4.4030 4.4030 Å, 60.00 60.00 60.00°
With the nearest neighbours (Å) after each atom.
Element x y z (fractional)
Ag (0.5000, 0.5000, 0.5000)  4 Be 2.70, 4 Ni 2.70
Ni (0.7500, 0.7500, 0.7500)  4 Tl 2.70, 4 Ag 2.70
Tl (0.0000, 0.0000, 0.0000)  4 Ni 2.70, 4 Be 2.70
Be (0.2500, 0.2500, 0.2500)  4 Ag 2.70, 4 Tl 2.70

Entry 12:
BeZnNiAg: optimized geometry, PBE-GGA.

Cell: 4.1596 4.1596 4.1596 Å, 60.00 60.00 60.00°
With the nearest neighbours (Å) after each atom.
Element x y z (fractional)
Zn (0.0000, 0.0000, 0.0000)  4 Be 2.55, 4 Ni 2.55
Ni (0.7500, 0.7500, 0.7500)  4 Ag 2.55, 4 Zn 2.55
Ag (0.5000, 0.5000, 0.5000)  4 Ni 2.55, 4 Be 2.55
Be (0.2500, 0.2500, 0.2500)  4 Zn 2.55, 4 Ag 2.55

Entry 13:
Be2AgO4: optimized geometry, PBE-GGA.

Cell: 5.6068 5.6068 5.6068 Å, 119.99 90.01 119.99°
With the nearest neighbours (Å) after each atom.
Element x y z (fractional)
Be (0.3750, 0.7500, 0.6250)  6 O 1.82
Ag (0.7500, 0.5000, 0.2500)  4 O 2.02
O (0.1475, 0.2948, 0.8527)  3 Be 1.82, 1 Ag 2.02
O (0.1920, 0.7948, 0.3973)  3 Be 1.82, 1 Ag 2.02
O (0.5579, 0.7052, 0.8527)  3 Be 1.82, 1 Ag 2.02
O (0.1473, 0.7052, 0.8525)  3 Be 1.82, 1 Ag 2.02
Be (0.3750, 0.2500, 0.6250)  6 O 1.82
O (0.6027, 0.2052, 0.8080)  3 Be 1.82, 1 Ag 2.02
O (0.1473, 0.2948, 0.4420)  3 Be 1.82, 1 Ag 2.02
O (0.6025, 0.2052, 0.3973)  3 Be 1.82, 1 Ag 2.02
Ag (0.0000, 0.0000, 0.0000)  4 O 2.02
Be (0.3750, 0.7500, 0.1250)  6 O 1.82
O (0.6027, 0.7948, 0.3975)  3 Be 1.82, 1 Ag 2.02
Be (0.8750, 0.2500, 0.6250)  6 O 1.82

Entry 14:
BeAgPO: optimized geometry, PBE-GGA.

Cell: 3.7745 3.7745 7.8035 Å, 90.00 90.00 90.00°
With the nearest neighbours (Å) after each atom.
Element x y z (fractional)
Be (0.0000, 0.0000, 0.5000)  4 P 2.22
Ag (0.5000, 0.0000, 0.8664)  4 O 2.16
O (0.5000, 0.5000, 0.0000)  4 Ag 2.16
Ag (0.0000, 0.5000, 0.1336)  4 O 2.16
P (0.0000, 0.5000, 0.6495)  4 Be 2.22
Be (0.5000, 0.5000, 0.5000)  4 P 2.22
P (0.5000, 0.0000, 0.3505)  4 Be 2.22
O (0.0000, 0.0000, 0.0000)  4 Ag 2.16

| no. | VASP energy (eV/cell) |
| --- | --- |
| 1 | -37.25 |
| 2 | -81.98 |
| 3 | -41.71 |
| 4 | -39.38 |
| 5 | -85.81 |
| 6 | -21.57 |
| 7 | -21.36 |
| 8 | -17.24 |
| 9 | -13.93 |
| 10 | -17.03 |
| 11 | -13.08 |
| 12 | -13.09 |
| 13 | -73.79 |
| 14 | -31.76 |